4
Lattice="-2.375 2.375 5.514 2.375 -2.375 5.514 2.375 2.375 -5.514" Properties=species:S:1:pos:R:3 comment="LiCa (GGA-PBEsol, optimized geometry)" dft_energy_ev_per_atom=-1.984 m_tot_mub_per_atom=0.0001 pbc="T T T"
Li 2.375 1.188 1.379
Li 0.000 1.188 4.136
Ca 2.375 -1.188 4.136
Ca 0.000 3.563 1.379